First-principles (PBE-GGA) data for a relaxed structure of LaTmCuPb, as listed in Alexandria via LeMat-Bulk.

As for the volume: 26.59 Å³/atom. The calculation puts the formation energy at -288 meV per atom.

The structure belongs to space group F-43m (No. 216); the cell edges are 7.521, 7.521 and 7.521 Å and the angles 90.00°, 90.00° and 90.00°. The distinct sites, in fractional coordinates, are La at (0.000, 0.000, 0.000), Tm at (0.000, 0.000, 0.500), Cu at (0.250, 0.250, 0.750) and Pb at (0.250, 0.250, 0.250).